Density functional theory data (GGA-PBE) for a geometry-optimized K2La2Ta structure.

Lattice parameters (Å, degrees): 7.7308 7.7308 7.1852 90.00 90.00 90.00
Element x y z (fractional)
K: 0.1891 0.3109 0.0000
K: 0.3109 0.8109 0.0000
K: 0.6891 0.1891 0.0000
K: 0.8109 0.6891 0.0000
La: 0.1827 0.6827 0.5000
La: 0.3173 0.1827 0.5000
La: 0.6827 0.8173 0.5000
La: 0.8173 0.3173 0.5000
Ta: 0.0000 0.0000 0.5000
Ta: 0.5000 0.5000 0.5000

Calculated values
DOS(E_F), states/eV/f.u.: 6.10
Energy, eV per atom: -3.99
Space group: No. 127
Energy above the lowest structure with this stoichiometry, kJ/mol of atoms: 0.00

=====

Density functional theory data (GGA-PBE) for a geometry-optimized K2LaTa structure.

Lattice parameters (Å, degrees): 8.4044 8.4044 8.4044 90.00 90.00 90.00
Element x y z (fractional)
K: 0.2500 0.2500 0.2500
K: 0.2500 0.2500 0.7500
K: 0.2500 0.7500 0.2500
K: 0.2500 0.7500 0.7500
K: 0.7500 0.2500 0.2500
K: 0.7500 0.2500 0.7500
K: 0.7500 0.7500 0.2500
K: 0.7500 0.7500 0.7500
La: 0.0000 0.0000 0.0000
La: 0.0000 0.5000 0.5000
La: 0.5000 0.0000 0.5000
La: 0.5000 0.5000 0.0000
Ta: 0.0000 0.0000 0.5000
Ta: 0.0000 0.5000 0.0000
Ta: 0.5000 0.0000 0.0000
Ta: 0.5000 0.5000 0.5000

Calculated values
DOS(E_F), states/eV/f.u.: 5.83
Energy, eV per atom: -3.13
Space group: No. 225
Energy above the lowest structure with this stoichiometry, kJ/mol of atoms: 78.71

=====

> Which formula does entry 1 have?

K2La2Ta